No. 1
BeIn2Pt PBE optimized geometry; total DFT energy (no corrections) = -14.641 eV for the cell shown; SG = P4/mmm (123)
1.0
-2.872 0.710 -0.563
-0.905 -2.341 1.664
-0.117 4.546 6.331
Be Pt In
1 1 2
Direct
0.500 0.500 0.750 Be
0.500 0.500 0.250 Pt
0.000 0.000 0.992 In
0.000 0.000 0.508 In

***

No. 2
BeInPt4 PBE optimized geometry; total DFT energy (no corrections) = -29.949 eV for the cell shown; SG = F-43m (216)
1.0
0.000 3.746 3.746
3.746 0.000 3.746
3.746 3.746 0.000
Be In Pt
1 1 4
Direct
0.750 0.750 0.750 Be
0.000 0.000 0.000 In
0.874 0.375 0.375 Pt
0.375 0.375 0.874 Pt
0.375 0.874 0.375 Pt
0.375 0.375 0.375 Pt

***

No. 3
BeInPt2 PBE optimized geometry; total DFT energy (no corrections) = -20.066 eV for the cell shown; SG = I4/mmm (139)
1.0
4.683 -0.013 0.000
1.171 4.534 0.000
-2.927 -2.261 2.872
Be Pt In
1 2 1
Direct
0.250 0.750 0.500 Be
0.000 0.000 0.000 Pt
0.500 0.500 0.000 Pt
0.750 0.250 0.500 In

***

No. 4
BeInPt PBE optimized geometry; total DFT energy (no corrections) = -13.411 eV for the cell shown; SG = Fmm2 (42)
1.0
5.151 0.009 -0.011
4.149 3.044 -0.009
1.001 0.314 3.018
Be Pt In
1 1 1
Direct
0.042 0.042 0.958 Be
0.627 0.627 0.373 Pt
0.331 0.331 0.669 In

***

No. 5
BeInPt2 PBE optimized geometry; total DFT energy (no corrections) = -19.645 eV for the cell shown; SG = I-4m2 (119)
1.0
-1.644 4.754 0.399
-3.990 1.165 -2.861
1.168 -3.697 3.229
Be Pt In
1 2 1
Direct
0.500 0.500 0.000 Be
0.000 0.000 0.000 Pt
0.250 0.750 0.500 Pt
0.750 0.250 0.500 In

***

No. 6
BeInPt2 PBE optimized geometry; total DFT energy (no corrections) = -18.497 eV for the cell shown; SG = Immm (71)
1.0
4.604 -1.619 -2.969
-1.221 4.725 2.969
-3.107 -0.011 4.793
Be Pt In
1 2 1
Direct
0.000 0.000 0.000 Be
0.000 0.213 0.213 Pt
0.000 0.787 0.787 Pt
0.000 0.500 0.500 In

***

no.,ΔH_f (0 K) (eV per atom),N(E_F) (states/eV/cell),theoretical density (Mg/m³)
1,0.151,1.66,10.19
2,0.113,7.49,14.28
3,-0.380,0.56,13.99
4,-0.302,1.31,11.21
5,-0.275,1.80,13.79
6,0.012,2.57,12.89